# BiAsPd2Pb (PBE-GGA, optimized geometry)
# theoretical density	9.06	g/cm³
# total moment	0.000	Bohr magnetons per cell
# E	-4.38	eV/atom
# formation energy	143	meV per atom
data_BiAsPd2Pb
_chemical_formula_sum 'Bi1 As1 Pd2 Pb1'
_symmetry_space_group_name_H-M 'P 4/m m m'
_symmetry_Int_Tables_number 123
_symmetry_space_group_name_Hall '-P 4 2'
_cell_length_a 4.7667
_cell_length_b 4.7667
_cell_length_c 5.6790
_cell_angle_alpha 90.00
_cell_angle_beta 90.00
_cell_angle_gamma 90.00
loop_
_atom_site_label
_atom_site_type_symbol
_atom_site_fract_x
_atom_site_fract_y
_atom_site_fract_z
_atom_site_occupancy
Bi1 Bi 0.0000 0.0000 0.0000 1
As1 As 0.0000 0.0000 0.5000 1
Pd1 Pd 0.0000 0.5000 0.5000 1
Pb1 Pb 0.5000 0.5000 0.0000 1